P) This record from Alexandria via LeMat-Bulk describes FeAg2Br at its PBEsol-relaxed geometry. The functional is meta-GGA SCAN.

Unit cell a=5.6223 b=5.6223 c=5.6223 alpha=140.55 beta=140.55 gamma=57.01
Element x y z (fractional)
Fe (0.0000, 0.0000, 0.0000)
Ag (0.2500, 0.7500, 0.5000)
Ag (0.7500, 0.2500, 0.5000)
Br (0.5000, 0.5000, 0.0000)

Computed properties:
- total magnetic moment (μB/atom) = 0.80
- crystal system = tetragonal
- SG = I4/mmm


Q) This record from Alexandria via LeMat-Bulk describes FeAg2Br at its PBEsol-relaxed geometry. The functional is meta-GGA SCAN.

Unit cell a=4.6557 b=4.6557 c=4.6557 alpha=60.00 beta=60.00 gamma=60.00
Element x y z (fractional)
Fe (0.0000, 0.0000, 0.0000)
Ag (0.2500, 0.2500, 0.2500)
Ag (0.7500, 0.7500, 0.7500)
Br (0.5000, 0.5000, 0.5000)

Computed properties:
- total magnetic moment (μB/atom) = 0.73
- crystal system = cubic
- SG = Fm-3m


Most stable to least stable: P), Q)


P) This record from Alexandria via LeMat-Bulk describes Ag2HgBr at its PBEsol-relaxed geometry. The functional is meta-GGA SCAN.

Unit cell a=8.5358 b=8.5358 c=8.5358 alpha=23.20 beta=23.20 gamma=23.20
Element x y z (fractional)
Ag (0.0000, 0.0000, 0.0000)
Ag (0.2550, 0.2550, 0.2550)
Hg (0.7485, 0.7485, 0.7485)
Br (0.5112, 0.5112, 0.5112)

Computed properties:
- total magnetic moment (μB/atom) = 0.00
- crystal system = trigonal
- SG = R3m


Q) This record from Alexandria via LeMat-Bulk describes Ag2HgBr at its PBEsol-relaxed geometry. The functional is meta-GGA SCAN.

Unit cell a=4.8844 b=4.8844 c=4.8844 alpha=60.00 beta=60.00 gamma=60.00
Element x y z (fractional)
Ag (0.2500, 0.2500, 0.2500)
Ag (0.7500, 0.7500, 0.7500)
Hg (0.0000, 0.0000, 0.0000)
Br (0.5000, 0.5000, 0.5000)

Computed properties:
- total magnetic moment (μB/atom) = 0.00
- crystal system = cubic
- SG = Fm-3m


Most stable to least stable: P), Q)


P) This record from Alexandria via LeMat-Bulk describes AgIBr2 at its PBEsol-relaxed geometry. The functional is meta-GGA SCAN.

Unit cell a=8.6229 b=8.6229 c=8.6229 alpha=28.29 beta=28.29 gamma=28.29
Element x y z (fractional)
Ag (0.0000, 0.0000, 0.0000)
I (0.5000, 0.5000, 0.5000)
Br (0.3902, 0.3902, 0.3902)
Br (0.6098, 0.6098, 0.6098)

Computed properties:
- total magnetic moment (μB/atom) = 0.00
- crystal system = trigonal
- SG = R-3m


Q) This record from Alexandria via LeMat-Bulk describes AgIBr2 at its PBEsol-relaxed geometry. The functional is meta-GGA SCAN.

Unit cell a=6.6152 b=6.6152 c=6.6152 alpha=104.16 beta=104.16 gamma=120.71
Element x y z (fractional)
Ag (0.0000, 0.0000, 0.0000)
Ag (0.7500, 0.2500, 0.5000)
I (0.2500, 0.7500, 0.5000)
I (0.5000, 0.5000, 0.0000)
Br (0.0536, 0.1250, 0.4286)
Br (0.3750, 0.9464, 0.0714)
Br (0.6964, 0.6250, 0.5714)
Br (0.8750, 0.3036, 0.9286)

Computed properties:
- total magnetic moment (μB/atom) = 0.00
- crystal system = tetragonal
- SG = I-42d


Most stable to least stable: P), Q)


P) This record from Alexandria via LeMat-Bulk describes AgIr2Br at its PBEsol-relaxed geometry. The functional is meta-GGA SCAN.

Unit cell a=2.9220 b=3.6837 c=5.8209 alpha=90.00 beta=90.00 gamma=90.00
Element x y z (fractional)
Ag (0.0000, 0.0000, 0.0000)
Ir (0.5000, 0.5000, 0.2493)
Ir (0.5000, 0.5000, 0.7507)
Br (0.0000, 0.0000, 0.5000)

Computed properties:
- total magnetic moment (μB/atom) = 0.00
- crystal system = orthorhombic
- SG = Pmmm


Q) This record from Alexandria via LeMat-Bulk describes AgIr2Br at its PBEsol-relaxed geometry. The functional is meta-GGA SCAN.

Unit cell a=5.7452 b=5.7452 c=5.7452 alpha=102.08 beta=102.08 gamma=125.54
Element x y z (fractional)
Ag (0.0000, 0.0000, 0.0000)
Ag (0.7500, 0.2500, 0.5000)
Ir (0.1619, 0.1250, 0.5369)
Ir (0.3750, 0.8381, 0.9631)
Ir (0.5881, 0.6250, 0.4631)
Ir (0.8750, 0.4119, 0.0369)
Br (0.2500, 0.7500, 0.5000)
Br (0.5000, 0.5000, 0.0000)

Computed properties:
- total magnetic moment (μB/atom) = 0.00
- crystal system = tetragonal
- SG = I-42d


Most stable to least stable: P), Q)


P) This record from Alexandria via LeMat-Bulk describes Li2AgBr at its PBEsol-relaxed geometry. The functional is meta-GGA SCAN.

Unit cell a=4.7822 b=4.7822 c=4.7822 alpha=60.00 beta=60.00 gamma=60.00
Element x y z (fractional)
Li (0.2500, 0.2500, 0.2500)
Li (0.7500, 0.7500, 0.7500)
Ag (0.0000, 0.0000, 0.0000)
Br (0.5000, 0.5000, 0.5000)

Computed properties:
- total magnetic moment (μB/atom) = 0.00
- crystal system = cubic
- SG = Fm-3m


Q) This record from Alexandria via LeMat-Bulk describes Li2AgBr at its PBEsol-relaxed geometry. The functional is meta-GGA SCAN.

Unit cell a=4.8285 b=4.8285 c=4.8285 alpha=60.00 beta=60.00 gamma=60.00
Element x y z (fractional)
Li (0.0000, 0.0000, 0.0000)
Li (0.2500, 0.2500, 0.2500)
Ag (0.7500, 0.7500, 0.7500)
Br (0.5000, 0.5000, 0.5000)

Computed properties:
- total magnetic moment (μB/atom) = 0.00
- crystal system = cubic
- SG = F-43m


Most stable to least stable: P), Q)


P) This record from Alexandria via LeMat-Bulk describes MnAgBr at its PBEsol-relaxed geometry. The functional is meta-GGA SCAN.

Unit cell a=4.5171 b=4.5171 c=4.5171 alpha=60.00 beta=60.00 gamma=60.00
Element x y z (fractional)
Mn (0.0000, 0.0000, 0.0000)
Ag (0.5000, 0.5000, 0.5000)
Br (0.7500, 0.7500, 0.7500)

Computed properties:
- total magnetic moment (μB/atom) = 1.39
- crystal system = cubic
- SG = F-43m


Q) This record from Alexandria via LeMat-Bulk describes MnAgBr at its PBEsol-relaxed geometry. The functional is meta-GGA SCAN.

Unit cell a=3.3576 b=3.3576 c=6.1217 alpha=90.00 beta=90.00 gamma=120.00
Element x y z (fractional)
Mn (0.0000, 0.0000, 0.0000)
Ag (0.3333, 0.6667, 0.6982)
Br (0.6667, 0.3333, 0.2857)

Computed properties:
- total magnetic moment (μB/atom) = 1.58
- crystal system = trigonal
- SG = P3m1


Most stable to least stable: Q), P)


P) This record from Alexandria via LeMat-Bulk describes AgMo2Br at its PBEsol-relaxed geometry. The functional is meta-GGA SCAN.

Unit cell a=3.1046 b=4.5138 c=4.7946 alpha=90.00 beta=90.00 gamma=90.00
Element x y z (fractional)
Ag (0.0000, 0.0000, 0.0000)
Mo (0.0000, 0.5000, 0.5000)
Mo (0.5000, 0.0000, 0.5000)
Br (0.5000, 0.5000, 0.0000)

Computed properties:
- total magnetic moment (μB/atom) = 0.00
- crystal system = orthorhombic
- SG = Pmmm


Q) This record from Alexandria via LeMat-Bulk describes AgMo2Br at its PBEsol-relaxed geometry. The functional is meta-GGA SCAN.

Unit cell a=3.0531 b=3.0531 c=6.7200 alpha=90.00 beta=90.00 gamma=90.00
Element x y z (fractional)
Ag (0.0000, 0.0000, 0.0000)
Mo (0.5000, 0.5000, 0.2660)
Mo (0.5000, 0.5000, 0.7340)
Br (0.0000, 0.0000, 0.5000)

Computed properties:
- total magnetic moment (μB/atom) = 0.00
- crystal system = tetragonal
- SG = P4/mmm


R) This record from Alexandria via LeMat-Bulk describes AgMo2Br at its PBEsol-relaxed geometry. The functional is meta-GGA SCAN.

Unit cell a=8.7310 b=8.7310 c=8.7310 alpha=20.85 beta=20.85 gamma=20.85
Element x y z (fractional)
Ag (0.0000, 0.0000, 0.0000)
Mo (0.2448, 0.2448, 0.2448)
Mo (0.5130, 0.5130, 0.5130)
Br (0.7653, 0.7653, 0.7653)

Computed properties:
- total magnetic moment (μB/atom) = 0.00
- crystal system = trigonal
- SG = R3m


Most stable to least stable: R), Q), P)